[1]
Compound: CoSb2Pt
Source: Alexandria
Functional: PBE
Structure: relaxed

Properties
Total energy = -5.343 eV/atom
ΔE_f (raw) = 0.02 eV/f.u.
Distance to the lowest polymorph of the same formula = 138 meV per atom
D(E_F) = 3.88 states/eV per cell
Crystal system = monoclinic
M_tot = 0.00 Bohr magnetons per cell

Cell lengths 3.7998, 3.7998, 6.5586 Å; angles 73.04, 73.04, 60.42 degrees
With the nearest neighbours (Å) after each atom.
Element x y z (fractional)
Co 0.2500 0.2500 0.2500  6 Sb 2.61-2.62
Pt 0.7500 0.7500 0.7500  6 Sb 2.76
Sb 0.9931 0.9931 0.0208  3 Co 2.61-2.62, 3 Pt 2.76
Sb 0.5069 0.5069 0.4792  3 Co 2.61-2.62, 3 Pt 2.76

---

[2]
Compound: LaTb4Nd5
Source: Alexandria
Functional: PBE
Structure: relaxed

Properties
Total energy = -4.659 eV/atom
Distance to the lowest polymorph of the same formula = 0 meV per atom
D(E_F) = 14.76 states/eV per cell
Crystal system = triclinic
M_tot = 0.00 Bohr magnetons per cell
Energy relative to the elements = 70 meV per atom

Cell lengths 3.5789, 11.4411, 8.8268 Å; angles 107.41, 94.67, 92.08 degrees
With the nearest neighbours (Å) after each atom.
Element x y z (fractional)
La 0.5000 0.0000 0.0000  6 Tb 3.40-3.69, 2 La 3.58, 2 Nd 3.60
Tb 0.5190 0.1022 0.4045  4 Tb 3.27-3.58, 4 Nd 3.40-3.66, 1 La 3.40
Tb 0.0753 0.2868 0.2030  4 Nd 3.47-3.78, 4 Tb 3.49-3.76, 2 La 3.68-3.69
Tb 0.4810 0.8978 0.5955  4 Tb 3.27-3.58, 4 Nd 3.40-3.66, 1 La 3.40
Tb 0.9247 0.7132 0.7970  4 Nd 3.47-3.78, 4 Tb 3.49-3.76, 2 La 3.68-3.69
Nd 0.2199 0.5965 0.4129  3 Tb 3.40-3.52, 6 Nd 3.45-3.71
Nd 0.9567 0.8167 0.2192  5 Tb 3.53-3.74, 4 Nd 3.56-3.80, 2 La 3.60-3.83
Nd 0.0433 0.1833 0.7808  5 Tb 3.53-3.74, 4 Nd 3.56-3.80, 2 La 3.60-3.83
Nd 0.5000 0.5000 0.0000  6 Nd 3.58-3.80, 4 Tb 3.78-3.97
Nd 0.7801 0.4035 0.5871  3 Tb 3.40-3.52, 6 Nd 3.45-3.71

---

[3]
Compound: KTePt
Source: Alexandria
Functional: PBE
Structure: relaxed

Properties
Total energy = -3.978 eV/atom
ΔE_f (raw) = -1.65 eV/f.u.
D(E_F) = 3.38 states/eV per cell
Crystal system = monoclinic
M_tot = 0.00 Bohr magnetons per cell

Cell lengths 7.2786, 8.5036, 8.0921 Å; angles 132.57, 90.00, 90.00 degrees
With the nearest neighbours (Å) after each atom.
Element x y z (fractional)
K 0.6016 0.3005 0.6944  4 Pt 3.29-3.65, 2 Te 3.64-3.68
K 0.1016 0.1995 0.3056  4 Pt 3.29-3.65, 2 Te 3.64-3.68
K 0.3984 0.6995 0.3056  4 Pt 3.29-3.65, 2 Te 3.64-3.68
K 0.8984 0.8005 0.6944  4 Pt 3.29-3.65, 2 Te 3.64-3.68
Te 0.5950 0.2436 0.2065  3 Pt 2.56-2.66
Te 0.0950 0.2564 0.7935  3 Pt 2.56-2.66
Te 0.4050 0.7564 0.7935  3 Pt 2.56-2.66
Te 0.9050 0.7436 0.2065  3 Pt 2.56-2.66
Pt 0.8358 0.3716 0.0886  3 Te 2.56-2.66
Pt 0.3358 0.1284 0.9114  3 Te 2.56-2.66
Pt 0.1642 0.6284 0.9114  3 Te 2.56-2.66
Pt 0.6642 0.8716 0.0886  3 Te 2.56-2.66